1.
PBE BRhS2N, relaxed; volume = 12.42 Å³/atom; polymorph energy (0 for the lowest one) = 0.000 eV/atom; E_form (uncorrected) = 0.500 eV per atom; SG = P4/mmm
1.0
4.7714 0.0000 0.0000
0.0000 4.7714 0.0000
0.0000 0.0000 2.7281
B Rh S N
1 1 2 1
Cartesian
0.0000 0.0000 0.0000
2.3857 2.3857 1.3640
0.0000 2.3857 0.0000
2.3857 0.0000 0.0000
0.0000 0.0000 1.3640

***

2.
PBE BRhS2N, relaxed; volume = 16.97 Å³/atom; polymorph energy (0 for the lowest one) = 0.926 eV/atom; E_form (uncorrected) = 1.425 eV per atom; SG = P4/mmm
1.0
4.8522 0.0000 0.0000
0.0000 4.8522 0.0000
0.0000 0.0000 3.6042
B Rh S N
1 1 2 1
Cartesian
0.0000 0.0000 0.0000
2.4261 2.4261 1.8021
0.0000 2.4261 1.8021
2.4261 0.0000 1.8021
2.4261 2.4261 0.0000

***

3.
PBE BRhSeN2, relaxed; volume = 16.85 Å³/atom; polymorph energy (0 for the lowest one) = 0.000 eV/atom; E_form (uncorrected) = 1.199 eV per atom; SG = P4/mmm
1.0
3.2569 0.0000 0.0000
0.0000 3.2569 0.0000
0.0000 0.0000 7.9413
B Rh Se N
1 1 1 2
Cartesian
0.0000 0.0000 0.0000
1.6285 1.6285 3.9707
0.0000 0.0000 3.9707
0.0000 1.6285 0.0000
1.6285 0.0000 0.0000

***

4.
PBE BRhSeN2, relaxed; volume = 15.24 Å³/atom; polymorph energy (0 for the lowest one) = 0.473 eV/atom; E_form (uncorrected) = 1.672 eV per atom; SG = P4/mmm
1.0
3.7202 0.0000 0.0000
0.0000 3.7202 0.0000
0.0000 0.0000 5.5054
B Rh Se N
1 1 1 2
Cartesian
0.0000 0.0000 0.0000
1.8601 1.8601 2.7527
1.8601 1.8601 0.0000
0.0000 1.8601 2.7527
1.8601 0.0000 2.7527

***

5.
PBE BRhSe2N, relaxed; volume = 18.83 Å³/atom; polymorph energy (0 for the lowest one) = 0.906 eV/atom; E_form (uncorrected) = 1.277 eV per atom; SG = P4/mmm
1.0
5.1147 0.0000 0.0000
0.0000 5.1147 0.0000
0.0000 0.0000 3.5983
B Rh Se N
1 1 2 1
Cartesian
0.0000 0.0000 0.0000
2.5573 2.5573 1.7991
0.0000 2.5573 1.7991
2.5573 0.0000 1.7991
2.5573 2.5573 0.0000

***

6.
PBE BRhSe2N, relaxed; volume = 14.01 Å³/atom; polymorph energy (0 for the lowest one) = 0.000 eV/atom; E_form (uncorrected) = 0.371 eV per atom; SG = P4/mmm
1.0
5.0405 0.0000 0.0000
0.0000 5.0405 0.0000
0.0000 0.0000 2.7579
B Rh Se N
1 1 2 1
Cartesian
0.0000 0.0000 0.0000
2.5202 2.5202 1.3790
0.0000 2.5202 0.0000
2.5202 0.0000 0.0000
0.0000 0.0000 1.3790

***

7.
PBE BTe2RhN, relaxed; volume = 21.66 Å³/atom; polymorph energy (0 for the lowest one) = 0.756 eV/atom; E_form (uncorrected) = 1.167 eV per atom; SG = P4/mmm
1.0
5.4798 0.0000 0.0000
0.0000 5.4798 0.0000
0.0000 0.0000 3.6071
B Te Rh N
1 2 1 1
Cartesian
0.0000 0.0000 0.0000
0.0000 2.7399 1.8036
2.7399 0.0000 1.8036
2.7399 2.7399 1.8036
2.7399 2.7399 0.0000

***

8.
PBE BTeRhN2, relaxed; volume = 17.11 Å³/atom; polymorph energy (0 for the lowest one) = 0.086 eV/atom; E_form (uncorrected) = 1.565 eV per atom; SG = P4/mmm
1.0
3.7125 0.0000 0.0000
0.0000 3.7125 0.0000
0.0000 0.0000 6.2064
B Te Rh N
1 1 1 2
Cartesian
0.0000 0.0000 0.0000
1.8562 1.8562 0.0000
1.8562 1.8562 3.1032
0.0000 1.8562 3.1032
1.8562 0.0000 3.1032